The following is a DFT calculation (PBE) of a relaxed structure of YMgBr2.

Output
Polymorph energy (0 for the lowest one)   383 meV/atom
Calculated volume   103.69 Å³ per cell
ρ   4.37 g/cm³
Space-group type   No. 65
Formation energy from raw total energies   -0.6178 eV per atom

Geometry as POSCAR:
```
YMgBr2
1.0
-4.511 0.043 3.016
-1.941 -0.784 -5.006
0.270 -3.569 0.454
Br Y Mg
2 1 1
Direct
0.500 0.500 0.000
0.000 0.000 0.000
0.000 0.500 0.500
0.500 0.000 0.500
```


The following is a DFT calculation (PBE) of a relaxed structure of YMgBr2.

Output
Polymorph energy (0 for the lowest one)   121 meV/atom
Calculated volume   122.80 Å³ per cell
ρ   3.69 g/cm³
Space-group type   No. 44
Formation energy from raw total energies   -0.8801 eV per atom

Geometry as POSCAR:
```
YMgBr2
1.0
-1.078 3.923 -6.541
2.701 -0.793 -7.170
-3.669 -2.445 6.317
Mg Br Y
1 2 1
Direct
0.564 0.564 0.000
0.934 0.934 0.000
0.237 0.737 0.500
0.765 0.265 0.500
```


The following is a DFT calculation (PBE) of a relaxed structure of YMgBr2.

Output
Polymorph energy (0 for the lowest one)   208 meV/atom
Calculated volume   115.52 Å³ per cell
ρ   3.92 g/cm³
Space-group type   No. 10
Formation energy from raw total energies   -0.7929 eV per atom

Geometry as POSCAR:
```
YMgBr2
1.0
-2.707 3.098 2.480
-2.397 0.242 -2.920
-3.442 -4.831 2.277
Y Br Mg
1 2 1
Direct
0.500 0.750 0.750
0.000 0.558 0.511
0.000 0.942 0.989
0.500 0.250 0.250
```


The following is a DFT calculation (PBE) of a relaxed structure of YMgBr2.

Output
Polymorph energy (0 for the lowest one)   210 meV/atom
Calculated volume   303.16 Å³ per cell
ρ   2.99 g/cm³
Space-group type   No. 122
Formation energy from raw total energies   -0.7908 eV per atom

Geometry as POSCAR:
```
YMgBr2
1.0
-8.459 3.408 -2.838
-4.431 -6.249 5.704
-6.383 0.795 3.909
Mg Br Y
2 4 2
Direct
0.250 0.750 0.500
0.500 0.500 0.000
0.010 0.625 0.250
0.375 0.260 0.750
0.875 0.990 0.750
0.740 0.125 0.250
0.000 0.000 0.000
0.750 0.250 0.500
```


The following is a DFT calculation (PBE) of a relaxed structure of YMgBr4.

Output
Polymorph energy (0 for the lowest one)   0 meV/atom
Calculated volume   203.21 Å³ per cell
ρ   3.54 g/cm³
Space-group type   No. 10
Formation energy from raw total energies   -1.5041 eV per atom

Geometry as POSCAR:
```
YMgBr4
1.0
3.768 0.000 0.000
0.000 7.673 0.530
0.000 -2.473 6.858
Br Y Mg
4 1 1
Direct
0.000 0.725 0.269
0.000 0.275 0.731
0.500 0.705 0.721
0.500 0.295 0.279
0.500 0.500 0.000
0.000 0.500 0.500
```


The following is a DFT calculation (PBE) of a relaxed structure of YMgBr.

Output
Calculated volume   85.15 Å³ per cell
ρ   3.77 g/cm³
Space-group type   No. 216
Formation energy from raw total energies   -0.1515 eV per atom

Geometry as POSCAR:
```
YMgBr
1.0
-2.879 3.663 1.637
-2.893 2.464 -3.154
-4.899 -0.595 0.163
Y Br Mg
1 1 1
Direct
0.500 0.500 0.500
0.750 0.750 0.750
0.000 0.000 0.000
```


The following is a DFT calculation (PBE) of a relaxed structure of YMgBr2.

Output
Polymorph energy (0 for the lowest one)   251 meV/atom
Calculated volume   106.92 Å³ per cell
ρ   4.24 g/cm³
Space-group type   No. 47
Formation energy from raw total energies   -0.7501 eV per atom

Geometry as POSCAR:
```
YMgBr2
1.0
-1.816 2.046 2.391
-3.951 -4.754 1.067
2.790 -1.546 3.442
Br Mg Y
2 1 1
Direct
0.500 0.500 0.000
0.000 0.000 0.000
0.500 0.000 0.500
0.000 0.500 0.500
```


The following is a DFT calculation (PBE) of a relaxed structure of Y2MgBr.

Output
Polymorph energy (0 for the lowest one)   192 meV/atom
Calculated volume   117.21 Å³ per cell
ρ   4.00 g/cm³
Space-group type   No. 71
Formation energy from raw total energies   -0.3244 eV per atom

Geometry as POSCAR:
```
Y2MgBr
1.0
-1.026 -3.164 -5.530
5.080 -3.430 -2.019
-4.533 0.928 4.499
Mg Y Br
1 2 1
Direct
0.250 0.750 0.500
0.527 0.527 0.000
0.973 0.973 0.000
0.750 0.250 0.500
```


The following is a DFT calculation (PBE) of a relaxed structure of YMgBr2.

Output
Polymorph energy (0 for the lowest one)   59 meV/atom
Calculated volume   123.88 Å³ per cell
ρ   3.66 g/cm³
Space-group type   No. 123
Formation energy from raw total energies   -0.9416 eV per atom

Geometry as POSCAR:
```
YMgBr2
1.0
3.514 0.000 0.000
0.000 3.514 0.000
0.000 0.000 10.031
Br Mg Y
2 1 1
Direct
0.000 0.000 0.579
0.000 0.000 0.921
0.500 0.500 0.250
0.500 0.500 0.750
```


The following is a DFT calculation (PBE) of a relaxed structure of Mg2ZnBr.

Output
Polymorph energy (0 for the lowest one)   493 meV/atom
Calculated volume   103.13 Å³ per cell
ρ   3.12 g/cm³
Space-group type   No. 216
Formation energy from raw total energies   0.1202 eV per atom

Geometry as POSCAR:
```
Mg2ZnBr
1.0
5.264 0.000 0.000
2.632 4.559 0.000
2.632 1.520 4.298
Mg Br Zn
2 1 1
Direct
0.250 0.250 0.250
0.000 0.000 0.000
0.500 0.500 0.500
0.750 0.750 0.750
```


The following is a DFT calculation (PBE) of a relaxed structure of MgZnBr2.

Output
Polymorph energy (0 for the lowest one)   514 meV/atom
Calculated volume   94.85 Å³ per cell
ρ   4.37 g/cm³
Space-group type   No. 225
Formation energy from raw total energies   -0.3580 eV per atom

Geometry as POSCAR:
```
MgZnBr2
1.0
0.000 3.620 3.620
3.620 0.000 3.620
3.620 3.620 0.000
Br Zn Mg
2 1 1
Direct
0.250 0.250 0.250
0.750 0.750 0.750
0.500 0.500 0.500
0.000 0.000 0.000
```


The following is a DFT calculation (PBE) of a relaxed structure of MgZn3Br.

Output
Polymorph energy (0 for the lowest one)   361 meV/atom
Calculated volume   150.81 Å³ per cell
ρ   3.31 g/cm³
Space-group type   No. 221
Formation energy from raw total energies   0.6482 eV per atom

Geometry as POSCAR:
```
MgZn3Br
1.0
5.323 0.000 0.000
0.000 5.323 0.000
0.000 0.000 5.323
Mg Zn Br
1 3 1
Direct
0.500 0.500 0.500
0.500 0.000 0.000
0.000 0.500 0.000
0.000 0.000 0.500
0.000 0.000 0.000
```


The following is a DFT calculation (PBE) of a relaxed structure of Mg2ZnBr.

Output
Polymorph energy (0 for the lowest one)   257 meV/atom
Calculated volume   96.82 Å³ per cell
ρ   3.33 g/cm³
Space-group type   No. 47
Formation energy from raw total energies   -0.1159 eV per atom

Geometry as POSCAR:
```
Mg2ZnBr
1.0
-3.333 -0.322 -0.076
0.467 -3.679 -4.900
0.297 -3.740 2.836
Br Mg Zn
1 2 1
Direct
0.000 0.500 0.500
0.000 0.000 0.000
0.500 0.500 0.000
0.500 0.000 0.500
```


The following is a DFT calculation (PBE) of a relaxed structure of MgZnBr2.

Output
Polymorph energy (0 for the lowest one)   775 meV/atom
Calculated volume   100.52 Å³ per cell
ρ   4.12 g/cm³
Space-group type   No. 216
Formation energy from raw total energies   -0.0972 eV per atom

Geometry as POSCAR:
```
MgZnBr2
1.0
5.219 0.000 0.000
2.610 4.520 0.000
2.610 1.507 4.261
Mg Br Zn
1 2 1
Direct
0.500 0.500 0.500
0.000 0.000 0.000
0.250 0.250 0.250
0.750 0.750 0.750
```


The following is a DFT calculation (PBE) of a relaxed structure of MgZn3Br.

Output
Polymorph energy (0 for the lowest one)   0 meV/atom
Calculated volume   148.45 Å³ per cell
ρ   3.36 g/cm³
Space-group type   No. 221
Formation energy from raw total energies   0.2874 eV per atom

Geometry as POSCAR:
```
MgZn3Br
1.0
-4.967 0.091 1.832
1.274 -3.633 3.635
1.319 3.851 3.386
Zn Mg Br
3 1 1
Direct
0.000 0.000 0.500
0.000 0.500 0.000
0.500 0.000 0.000
0.000 0.000 0.000
0.500 0.500 0.500
```


The following is a DFT calculation (PBE) of a relaxed structure of MgZn2Br.

Output
Polymorph energy (0 for the lowest one)   227 meV/atom
Calculated volume   86.41 Å³ per cell
ρ   4.52 g/cm³
Space-group type   No. 65
Formation energy from raw total energies   -0.0485 eV per atom

Geometry as POSCAR:
```
MgZn2Br
1.0
3.376 0.287 0.000
-0.931 3.258 0.000
0.000 0.000 7.671
Zn Br Mg
2 1 1
Direct
0.000 0.000 0.990
0.000 0.000 0.510
0.500 0.500 0.250
0.500 0.500 0.750
```


The following is a DFT calculation (PBE) of a relaxed structure of Mg2ZnBr.

Output
Polymorph energy (0 for the lowest one)   189 meV/atom
Calculated volume   93.42 Å³ per cell
ρ   3.45 g/cm³
Space-group type   No. 47
Formation energy from raw total energies   -0.1844 eV per atom

Geometry as POSCAR:
```
Mg2ZnBr
1.0
3.426 0.000 0.000
0.000 4.686 0.000
0.000 0.000 5.819
Zn Mg Br
1 2 1
Direct
0.000 0.000 0.375
0.000 0.000 0.875
0.500 0.500 0.375
0.500 0.500 0.875
```


The following is a DFT calculation (PBE) of a relaxed structure of Mg4ZnBr.

Output
Calculated volume   146.49 Å³ per cell
ρ   2.75 g/cm³
Space-group type   No. 216
Formation energy from raw total energies   0.0968 eV per atom

Geometry as POSCAR:
```
Mg4ZnBr
1.0
0.000 4.184 4.184
4.184 0.000 4.184
4.184 4.184 0.000
Zn Mg Br
1 4 1
Direct
0.750 0.750 0.750
0.376 0.871 0.376
0.376 0.376 0.376
0.871 0.376 0.376
0.376 0.376 0.871
0.000 0.000 0.000
```


The following is a DFT calculation (PBE) of a relaxed structure of Mg2ZnBr2.

Output
Polymorph energy (0 for the lowest one)   0 meV/atom
Calculated volume   150.71 Å³ per cell
ρ   3.02 g/cm³
Space-group type   No. 139
Formation energy from raw total energies   -0.2186 eV per atom

Geometry as POSCAR:
```
Mg2ZnBr2
1.0
5.347 0.000 0.000
0.000 5.347 0.000
2.674 2.674 5.271
Mg Zn Br
2 1 2
Direct
0.750 0.250 0.500
0.250 0.750 0.500
0.000 0.000 0.000
0.666 0.666 0.669
0.334 0.334 0.331
```


The following is a DFT calculation (PBE) of a relaxed structure of Mg2ZnBr.

Output
Polymorph energy (0 for the lowest one)   171 meV/atom
Calculated volume   90.22 Å³ per cell
ρ   3.57 g/cm³
Space-group type   No. 8
Formation energy from raw total energies   -0.2019 eV per atom

Geometry as POSCAR:
```
Mg2ZnBr
1.0
-2.292 -5.497 -0.162
0.815 -5.810 1.039
-1.805 -0.717 4.485
Mg Zn Br
2 1 1
Direct
0.760 0.760 0.638
0.015 0.015 0.077
0.482 0.482 0.610
0.243 0.243 0.175
```


The following is a DFT calculation (PBE) of a relaxed structure of Mg2ZnBr.

Output
Polymorph energy (0 for the lowest one)   400 meV/atom
Calculated volume   98.15 Å³ per cell
ρ   3.28 g/cm³
Space-group type   No. 225
Formation energy from raw total energies   0.0272 eV per atom

Geometry as POSCAR:
```
Mg2ZnBr
1.0
-0.748 -5.108 0.394
-3.465 -2.352 -3.045
1.596 -3.150 -3.786
Mg Zn Br
2 1 1
Direct
0.250 0.250 0.250
0.750 0.750 0.750
0.000 0.000 0.000
0.500 0.500 0.500
```


The following is a DFT calculation (PBE) of a relaxed structure of MgZnBr4.

Output
Polymorph energy (0 for the lowest one)   165 meV/atom
Calculated volume   594.94 Å³ per cell
ρ   2.28 g/cm³
Space-group type   No. 131
Formation energy from raw total energies   -0.9723 eV per atom

Geometry as POSCAR:
```
MgZnBr4
1.0
-3.047 -4.253 -5.173
6.510 -0.548 -3.384
2.346 -8.932 5.961
Zn Mg Br
2 2 8
Direct
0.000 0.500 0.000
0.500 0.000 0.500
0.000 0.000 0.000
0.000 0.000 0.500
0.238 0.746 0.000
0.746 0.238 0.500
0.762 0.254 0.000
0.254 0.762 0.500
0.238 0.254 0.000
0.746 0.762 0.500
0.762 0.746 0.000
0.254 0.238 0.500
```


The following is a DFT calculation (PBE) of a relaxed structure of MgZn2Br.

Output
Polymorph energy (0 for the lowest one)   185 meV/atom
Calculated volume   182.57 Å³ per cell
ρ   4.28 g/cm³
Space-group type   No. 122
Formation energy from raw total energies   -0.0902 eV per atom

Geometry as POSCAR:
```
MgZn2Br
1.0
-2.185 -1.876 7.592
7.265 -3.404 1.250
3.527 -0.209 5.306
Mg Zn Br
2 4 2
Direct
0.500 0.500 0.000
0.250 0.750 0.500
0.375 0.387 0.750
0.137 0.625 0.250
0.613 0.125 0.250
0.875 0.863 0.750
0.000 0.000 0.000
0.750 0.250 0.500
```


The following is a DFT calculation (PBE) of a relaxed structure of MgZn2Br.

Output
Polymorph energy (0 for the lowest one)   179 meV/atom
Calculated volume   86.78 Å³ per cell
ρ   4.50 g/cm³
Space-group type   No. 71
Formation energy from raw total energies   -0.0968 eV per atom

Geometry as POSCAR:
```
MgZn2Br
1.0
-1.812 4.661 -3.787
-4.392 2.163 -3.922
-2.674 2.649 2.088
Mg Zn Br
1 2 1
Direct
0.250 0.250 0.250
0.986 0.986 0.015
0.514 0.514 0.485
0.750 0.750 0.750
```


The following is a DFT calculation (PBE) of a relaxed structure of MgZn2Br.

Output
Polymorph energy (0 for the lowest one)   396 meV/atom
Calculated volume   92.06 Å³ per cell
ρ   4.24 g/cm³
Space-group type   No. 216
Formation energy from raw total energies   0.1208 eV per atom

Geometry as POSCAR:
```
MgZn2Br
1.0
5.068 0.000 0.000
2.534 4.389 0.000
2.534 1.463 4.138
Zn Br Mg
2 1 1
Direct
0.250 0.250 0.250
0.000 0.000 0.000
0.500 0.500 0.500
0.750 0.750 0.750
```


The following is a DFT calculation (PBE) of a relaxed structure of MgZnBr2.

Output
Polymorph energy (0 for the lowest one)   544 meV/atom
Calculated volume   107.88 Å³ per cell
ρ   3.84 g/cm³
Space-group type   No. 119
Formation energy from raw total energies   -0.3288 eV per atom

Geometry as POSCAR:
```
MgZnBr2
1.0
7.142 -0.052 0.000
4.872 5.223 0.000
-6.007 -2.585 2.872
Mg Br Zn
1 2 1
Direct
0.500 0.500 0.000
0.000 0.000 0.000
0.250 0.750 0.500
0.750 0.250 0.500
```


The following is a DFT calculation (PBE) of a relaxed structure of MgZnBr2.

Output
Polymorph energy (0 for the lowest one)   174 meV/atom
Calculated volume   149.97 Å³ per cell
ρ   2.76 g/cm³
Space-group type   No. 65
Formation energy from raw total energies   -0.6980 eV per atom

Geometry as POSCAR:
```
MgZnBr2
1.0
-1.247 1.587 3.574
0.649 -3.978 -0.779
10.480 1.088 3.172
Br Zn Mg
2 1 1
Direct
0.000 0.000 0.411
0.000 0.000 0.089
0.500 0.500 0.750
0.500 0.500 0.250
```


The following is a DFT calculation (PBE) of a relaxed structure of MgZnBr3.

Output
Polymorph energy (0 for the lowest one)   0 meV/atom
Calculated volume   145.20 Å³ per cell
ρ   3.77 g/cm³
Space-group type   No. 221
Formation energy from raw total energies   -0.6409 eV per atom

Geometry as POSCAR:
```
MgZnBr3
1.0
5.256 0.000 0.000
0.000 5.256 0.000
0.000 0.000 5.256
Zn Br Mg
1 3 1
Direct
0.500 0.500 0.500
0.500 0.000 0.000
0.000 0.000 0.500
0.000 0.500 0.000
0.000 0.000 0.000
```